(1)
An optimized crystal structure of USnGe2. Source: Alexandria, functional PBE-GGA.

Results
ΔE to the lowest computed polymorph: 0 meV per atom
DFT formation energy: -0.2300 eV/atom

Unit cell a=4.077 b=4.485 c=4.485 alpha=90.00 beta=90.00 gamma=90.00
Each line ends with the local moment (μB).
Fractional positions:
1 Ge 0.000 0.000 0.500  -0.02
2 Ge 0.000 0.500 0.000  -0.02
3 U 0.500 0.000 0.000  0.80
4 Sn 0.500 0.500 0.500  -0.01

=====

(2)
An optimized crystal structure of Tm4CuSb. Source: Alexandria, functional PBE-GGA.

Results
ΔE to the lowest computed polymorph: 0 meV per atom

Unit cell a=5.410 b=6.707 c=9.210 alpha=90.00 beta=115.15 gamma=90.00
Fractional positions:
1 Tm 0.591 0.250 0.454
2 Tm 0.409 0.750 0.546
3 Tm 0.648 0.250 0.858
4 Tm 0.352 0.750 0.142
5 Tm 0.925 0.014 0.245
6 Tm 0.075 0.514 0.755
7 Tm 0.925 0.486 0.245
8 Tm 0.075 0.986 0.755
9 Cu 0.175 0.250 0.544
10 Cu 0.825 0.750 0.456
11 Sb 0.305 0.250 0.080
12 Sb 0.695 0.750 0.920

=====

(3)
An optimized crystal structure of Tm3NiRh8. Source: Alexandria, functional PBE-GGA.

Results
DFT formation energy: -0.5090 eV/atom

Unit cell a=5.249 b=5.249 c=9.132 alpha=73.30 beta=73.30 gamma=60.00
Each line ends with the local moment (μB).
Fractional positions:
1 Tm 0.623 0.623 0.131  -0.03
2 Tm 0.011 0.011 0.967  -0.02
3 Tm 0.492 0.492 0.524  -0.03
4 Ni 0.141 0.141 0.577  0.58
5 Rh 0.562 0.060 0.817  0.02
6 Rh 0.059 0.560 0.321  0.12
7 Rh 0.562 0.562 0.817  0.02
8 Rh 0.059 0.059 0.321  0.12
9 Rh 0.810 0.810 0.570  0.02
10 Rh 0.311 0.311 0.068  0.02
11 Rh 0.060 0.562 0.817  0.02
12 Rh 0.560 0.059 0.321  0.12

=====

(4)
An optimized crystal structure of NiMoSe. Source: Alexandria, functional PBE-GGA.

Results
ΔE to the lowest computed polymorph: 199 meV per atom

Unit cell a=4.165 b=4.165 c=4.165 alpha=60.00 beta=60.00 gamma=60.00
Each line ends with the local moment (μB).
Fractional positions:
1 Mo 0.750 0.750 0.750  0.76
2 Ni 0.000 0.000 0.000  0.18
3 Se 0.500 0.500 0.500  0.01

=====

(5)
An optimized crystal structure of Tb11In9Co4. Source: Alexandria, functional PBE-GGA.

Results
DFT formation energy: -0.4376 eV/atom

Unit cell a=3.662 b=13.010 c=13.010 alpha=112.42 beta=90.00 gamma=90.00
Fractional positions:
1 Tb 0.000 0.582 0.917
2 Tb 0.000 0.418 0.083
3 Tb 0.000 0.917 0.582
4 Tb 0.000 0.083 0.418
5 Tb 0.000 0.625 0.375
6 Tb 0.000 0.375 0.625
7 Tb 0.000 0.838 0.162
8 Tb 0.000 0.162 0.838
9 Tb 0.000 0.000 0.000
10 Tb 0.000 0.686 0.686
11 Tb 0.000 0.314 0.314
12 In 0.500 0.632 0.159
13 In 0.500 0.368 0.841
14 In 0.500 0.159 0.632
15 In 0.500 0.841 0.368
16 In 0.500 0.779 0.921
17 In 0.500 0.221 0.079
18 In 0.500 0.921 0.779
19 In 0.500 0.079 0.221
20 In 0.500 0.500 0.500
21 Co 0.500 0.550 0.753
22 Co 0.500 0.450 0.247
23 Co 0.500 0.753 0.550
24 Co 0.500 0.247 0.450

=====

(6)
An optimized crystal structure of TaCrIn2. Source: Alexandria, functional PBE-GGA.

Results
ΔE to the lowest computed polymorph: 77 meV per atom
DFT formation energy: 0.3749 eV/atom

Unit cell a=4.218 b=3.022 c=6.719 alpha=63.31 beta=90.00 gamma=90.00
Each line ends with the local moment (μB).
Fractional positions:
1 Cr 0.500 0.750 0.750  3.21
2 In 0.000 0.005 0.994  -0.05
3 In 0.000 0.495 0.506  -0.05
4 Ta 0.500 0.250 0.250  -0.24

=====

(7)
An optimized crystal structure of SmHo5Pt4. Source: Alexandria, functional PBE-GGA.

Results
DFT formation energy: -0.9960 eV/atom

Unit cell a=4.213 b=7.637 c=9.487 alpha=113.84 beta=102.83 gamma=90.00
Fractional positions:
1 Sm 0.500 0.000 0.000
2 Ho 0.835 0.593 0.670
3 Ho 0.835 0.077 0.670
4 Ho 0.165 0.923 0.330
5 Ho 0.500 0.500 0.000
6 Ho 0.165 0.407 0.330
7 Pt 0.295 0.795 0.590
8 Pt 0.000 0.738 0.000
9 Pt 0.705 0.205 0.410
10 Pt 0.000 0.262 0.000

=====

(8)
An optimized crystal structure of Tm3Hf2ScN6. Source: Alexandria, functional PBE-GGA.

Results
Total energy: -9.341 eV per atom

Unit cell a=3.286 b=6.601 c=7.371 alpha=103.32 beta=102.88 gamma=90.00
Fractional positions:
1 Tm 0.500 0.500 0.000
2 Tm 0.835 0.165 0.670
3 Tm 0.165 0.835 0.330
4 Hf 0.835 0.669 0.670
5 Hf 0.165 0.331 0.330
6 Sc 0.500 0.000 0.000
7 N 0.335 0.905 0.670
8 N 0.671 0.573 0.341
9 N 0.665 0.095 0.330
10 N 0.005 0.246 0.011
11 N 0.995 0.754 0.989
12 N 0.329 0.427 0.659

=====

(9)
An optimized crystal structure of CaThPtRh. Source: Alexandria, functional PBE-GGA.

Results
ΔE to the lowest computed polymorph: 81 meV per atom
DFT formation energy: -0.8415 eV/atom

Unit cell a=4.994 b=4.994 c=4.994 alpha=60.00 beta=60.00 gamma=60.00
Fractional positions:
1 Ca 0.000 0.000 0.000
2 Rh 0.750 0.750 0.750
3 Pt 0.250 0.250 0.250
4 Th 0.500 0.500 0.500

=====

(10)
An optimized crystal structure of Fe2SiMo. Source: Alexandria, functional PBE-GGA.

Results
Total energy: -8.431 eV per atom

Unit cell a=2.907 b=2.905 c=5.885 alpha=90.00 beta=90.00 gamma=90.00
Each line ends with the local moment (μB).
Fractional positions:
1 Fe 0.000 0.000 0.990  1.38
2 Fe 0.500 0.500 0.228  2.21
3 Mo 0.000 0.000 0.498  -0.45
4 Si 0.500 0.500 0.783  -0.03

=====

(11)
An optimized crystal structure of Tb6PmSm3Sc2. Source: Alexandria, functional PBE-GGA.

Results
DFT formation energy: 0.0367 eV/atom

Unit cell a=6.128 b=6.128 c=11.714 alpha=94.99 beta=94.99 gamma=119.98
Fractional positions:
1 Tb 0.918 0.582 0.756
2 Tb 0.745 0.745 0.244
3 Tb 0.082 0.418 0.244
4 Tb 0.582 0.918 0.756
5 Tb 0.255 0.255 0.756
6 Tb 0.418 0.082 0.244
7 Pm 0.000 0.000 0.000
8 Sm 0.167 0.833 0.500
9 Sm 0.833 0.167 0.500
10 Sm 0.500 0.500 0.500
11 Sc 0.333 0.667 0.000
12 Sc 0.667 0.333 0.000

=====

(12)
An optimized crystal structure of Sm3RuRh. Source: Alexandria, functional PBE-GGA.

Results
ΔE to the lowest computed polymorph: 0 meV per atom
DFT formation energy: -0.4213 eV/atom

Unit cell a=8.051 b=7.444 c=8.654 alpha=90.00 beta=75.11 gamma=90.00
Fractional positions:
1 Sm 0.399 0.152 0.785
2 Sm 0.601 0.848 0.215
3 Sm 0.101 0.652 0.215
4 Sm 0.899 0.348 0.785
5 Sm 0.515 0.691 0.857
6 Sm 0.485 0.309 0.143
7 Sm 0.985 0.191 0.143
8 Sm 0.015 0.809 0.857
9 Sm 0.785 0.998 0.551
10 Sm 0.215 0.002 0.449
11 Sm 0.715 0.498 0.449
12 Sm 0.285 0.502 0.551
13 Ru 0.470 0.816 0.567
14 Ru 0.530 0.184 0.433
15 Ru 0.030 0.316 0.433
16 Ru 0.970 0.684 0.567
17 Rh 0.697 0.042 0.916
18 Rh 0.303 0.958 0.084
19 Rh 0.803 0.542 0.084
20 Rh 0.197 0.458 0.916

=====

V values (in Å³ per atom) by entry order: 20.5; 25.2; 17.1; 17.0; 23.9; 19.1; 27.1; 12.6; 22.0; 12.4; 31.3; 25.1.